BaZnHg2 | PBE | relaxed

For the energy of formation, the calculation gives -1.12 eV per formula unit. The energy is -1.230 eV per atom. Its volume is 358.9 Å³/cell. For the magnetic moment, the calculation gives 0.0 Bohr magnetons per cell. As for the density: 8.38 Mg/m³.

It has space group R-3m (No. 166, hexagonal axes), with a = 4.8206 Å, b = 4.8206 Å, c = 17.8350 Å, α = 90.00°, β = 90.00° and γ = 120.00°. The inequivalent atoms are Ba at (0.0000, 0.0000, 0.0000), Zn at (0.0000, 0.0000, 0.5000) and Hg at (0.0000, 0.0000, 0.2137).

---

AcHoTc2O8 | PBE | relaxed

The energy is -7.890 eV per atom. Its volume is 218.1 Å³/cell. As for the energy relative to the elements, uncorrected: -2.1331 eV/atom. For the magnetic moment, the calculation gives 4.0 Bohr magnetons per cell. As for the density: 5.45 Mg/m³.

It has space group P-3m1 (No. 164), with a = 5.9016 Å, b = 5.9016 Å, c = 7.2310 Å, α = 90.00°, β = 90.00° and γ = 120.00°. The inequivalent atoms are Ac at (0.0000, 0.0000, 0.0000), Ho at (0.0000, 0.0000, 0.5000), Tc at (0.3333, 0.6667, 0.7830), O at (0.1580, 0.3160, 0.7151) and O at (0.3333, 0.6667, 0.0320).

---

MnNbCoHSe | PBE | relaxed

The energy is -6.710 eV per atom. The polymorph energy (0 for the lowest one) comes out at 54 meV per atom. Its volume is 125.1 Å³/cell. For the magnetic moment, the calculation gives 4.7 Bohr magnetons per cell. As for the density: 7.61 Mg/m³.

It has space group Amm2 (No. 38), with a = 3.248 Å, b = 3.331 Å, c = 11.560 Å, α = 90.00°, β = 90.00° and γ = 90.00°. The inequivalent atoms are Mn at (0.000, 0.000, 0.000), Nb at (0.000, 0.000, 0.231), Co at (0.500, 0.000, 0.618), H at (0.500, 0.000, 0.750) and Se at (0.500, 0.000, 0.418).

---

AlCuS | PBE | relaxed

The energy is -4.233 eV per atom. Its volume is 250.2 Å³/cell. As for the energy relative to the elements, uncorrected: -0.2442 eV/atom. For the magnetic moment, the calculation gives 0.0 Bohr magnetons per cell. As for the density: 3.25 Mg/m³.

It has space group C2/m (No. 12), with a = 3.664 Å, b = 7.940 Å, c = 8.766 Å, α = 90.00°, β = 101.13° and γ = 90.00°. The inequivalent atoms are Al at (0.072, 0.000, 0.158), Cu at (0.000, 0.341, 0.000) and S at (0.143, 0.500, 0.311).

---

NiP3Pb5 | PBE | relaxed

For the energy of formation, the calculation gives 2.38 eV per formula unit. The energy is -4.241 eV per atom. Its volume is 447.0 Å³/cell. For the magnetic moment, the calculation gives 0.0 Bohr magnetons per cell. As for the density: 8.82 Mg/m³.

It has space group P6_3/mcm (No. 193), with a = 8.2665 Å, b = 8.2665 Å, c = 7.5524 Å, α = 90.00°, β = 90.00° and γ = 120.00°. The inequivalent atoms are Ni at (0.0000, 0.0000, 0.0000), P at (0.0000, 0.4244, 0.2500), Pb at (0.0000, 0.2409, 0.7500) and Pb at (0.3333, 0.6667, 0.0000).

---

La2Re | PBE | relaxed

For the energy of formation, the calculation gives 2.22 eV per formula unit. The energy is -6.695 eV per atom. The polymorph energy (0 for the lowest one) comes out at 582 meV per atom. Its volume is 452.2 Å³/cell. For the magnetic moment, the calculation gives 0.0 Bohr magnetons per cell. As for the density: 10.22 Mg/m³.

It has space group R32 (No. 155, hexagonal axes), with a = 5.7946 Å, b = 5.7946 Å, c = 15.5508 Å, α = 90.00°, β = 90.00° and γ = 120.00°. The inequivalent atoms are La at (0.0000, 0.0000, 0.0000), La at (0.0000, 0.6879, 0.5000) and Re at (0.0000, 0.0000, 0.3331).

---

PmTlAu | PBE | relaxed

For the energy of formation, the calculation gives -1.58 eV per formula unit. The energy is -3.991 eV per atom. The polymorph energy (0 for the lowest one) comes out at 90 meV per atom. Its volume is 75.2 Å³/cell. For the magnetic moment, the calculation gives 0.0 Bohr magnetons per cell. As for the density: 12.06 Mg/m³.

It has space group P-6m2 (No. 187), with a = 4.9324 Å, b = 4.9324 Å, c = 3.5715 Å, α = 90.00°, β = 90.00° and γ = 120.00°. The inequivalent atoms are Pm at (0.0000, 0.0000, 0.0000), Tl at (0.3333, 0.6667, 0.5000) and Au at (0.6667, 0.3333, 0.5000).

---

Pr8GaRh3I4 | PBE | relaxed

The energy is -5.202 eV per atom. Its volume is 1546.0 Å³/cell. As for the energy relative to the elements, uncorrected: -0.8574 eV/atom. For the magnetic moment, the calculation gives 0.0 Bohr magnetons per cell. As for the density: 6.49 Mg/m³.

It has space group R-3m (No. 166, hexagonal axes), with a = 8.5665 Å, b = 8.5665 Å, c = 24.3271 Å, α = 90.00°, β = 90.00° and γ = 120.00°. The inequivalent atoms are Pr at (0.0000, 0.0000, 0.2305), Pr at (0.0131, 0.5066, 0.7711), Ga at (0.0000, 0.0000, 0.5000), Rh at (0.0000, 0.5000, 0.5000), I at (0.0000, 0.0000, 0.0000) and I at (0.0000, 0.5000, 0.0000).

---

TaTl2As | PBE | relaxed

For the energy of formation, the calculation gives 1.85 eV per formula unit. The energy is -4.847 eV per atom. The polymorph energy (0 for the lowest one) comes out at 365 meV per atom. Its volume is 603.0 Å³/cell. For the magnetic moment, the calculation gives 0.0 Bohr magnetons per cell. As for the density: 7.32 Mg/m³.

It has space group I-42d (No. 122), with a = 11.018 Å, b = 11.018 Å, c = 4.968 Å, α = 90.00°, β = 90.00° and γ = 90.00°. The inequivalent atoms are Ta at (0.000, 0.000, 0.000), Tl at (0.001, 0.250, 0.125) and As at (0.000, 0.000, 0.500).

---

Hg3SeS2 | PBE | relaxed

The energy is -2.264 eV per atom. The polymorph energy (0 for the lowest one) comes out at 0 meV per atom. Its volume is 675.5 Å³/cell. As for the energy relative to the elements, uncorrected: -0.1568 eV/atom. For the magnetic moment, the calculation gives 0.0 Bohr magnetons per cell. As for the density: 7.32 Mg/m³.

It has space group Cc (No. 9), with a = 7.456 Å, b = 12.899 Å, c = 7.457 Å, α = 90.00°, β = 109.65° and γ = 90.00°. The inequivalent atoms are Hg at (0.000, 0.083, 0.000), Hg at (0.485, 0.090, 0.488), Hg at (0.488, 0.256, 0.999), Se at (0.116, 0.415, 0.372), S at (0.116, 0.083, 0.371) and S at (0.117, 0.248, 0.870).

---

- Which value of magnetic moment does entry 5 give?
  0.0 Bohr magnetons per cell

---

What did the eighth record say?
Pr8GaRh3I4 | PBE | relaxed

The energy is -5.202 eV per atom. Its volume is 1546.0 Å³/cell. As for the energy relative to the elements, uncorrected: -0.8574 eV/atom. For the magnetic moment, the calculation gives 0.0 Bohr magnetons per cell. As for the density: 6.49 Mg/m³.

It has space group R-3m (No. 166, hexagonal axes), with a = 8.5665 Å, b = 8.5665 Å, c = 24.3271 Å, α = 90.00°, β = 90.00° and γ = 120.00°. The inequivalent atoms are Pr at (0.0000, 0.0000, 0.2305), Pr at (0.0131, 0.5066, 0.7711), Ga at (0.0000, 0.0000, 0.5000), Rh at (0.0000, 0.5000, 0.5000), I at (0.0000, 0.0000, 0.0000) and I at (0.0000, 0.5000, 0.0000).